[1]
Computed, not measured: crystalline PrAlZnPd2 at its relaxed geometry at the PBE level of DFT.

Crystal system: tetragonal
Energy in Ry per atom: -0.349
Space-group type: I-4m2 (119)

Cell lengths 4.1836, 4.1836, 6.3601 Å; angles 109.20, 109.20, 90.00 degrees
Fractional coordinates of all 5 atoms:
Pr1 0.0000 0.0000 0.0000
Pd1 0.3800 0.3800 0.7600
Pd2 0.6200 0.6200 0.2400
Zn1 0.2500 0.7500 0.5000
Al1 0.7500 0.2500 0.5000



[2]
Computed, not measured: crystalline Rb2BaLaCu at its relaxed geometry at the PBE level of DFT.

Crystal system: tetragonal
Energy in Ry per atom: -0.108
Space-group type: P4/mmm (123)

Cell lengths 7.2126, 7.2126, 7.0199 Å; angles 90.00, 90.00, 90.00 degrees
Fractional coordinates of all 5 atoms:
Ba1 0.0000 0.0000 0.5000
La1 0.0000 0.0000 0.0000
Rb1 0.5000 0.0000 0.0000
Rb2 0.0000 0.5000 0.0000
Cu1 0.5000 0.5000 0.5000



[3]
Computed, not measured: crystalline MgZn5Cu at its relaxed geometry at the PBE level of DFT.

Crystal system: tetragonal
Energy in Ry per atom: -0.126
Space-group type: P4/mmm (123)

Cell lengths 4.1437, 4.1437, 6.6782 Å; angles 90.00, 90.00, 90.00 degrees
Fractional coordinates of all 7 atoms:
Zn1 0.0000 0.5000 0.7074
Zn2 0.5000 0.0000 0.7074
Zn3 0.5000 0.5000 0.0000
Zn4 0.5000 0.0000 0.2926
Zn5 0.0000 0.5000 0.2926
Cu1 0.5000 0.5000 0.5000
Mg1 0.0000 0.0000 0.0000



no.,calculated volume (Å³/cell),E_form (eV/atom)
1,99,-0.705
2,365,1.101
3,115,0.013